A relaxed Nd6TlSe2S3 crystal, computed with PBE.

Values from the calculation:
Space-group type   No. 12
Formation energy (no corrections)   -1661 meV/atom
Density of states at the Fermi level   0.455 states/eV/atom
Raw total energy   -5.854 eV/atom
M_tot   0.0 μB/cell

Lattice parameters (Å, degrees): 9.4206 9.4206 8.5560 103.20 103.20 25.29
Sites, in units of the cell vectors:
Nd: 0.0016 0.0016 0.2296
Nd: 0.3273 0.3273 0.4257
Nd: 0.3388 0.3388 0.9057
Nd: 0.6612 0.6612 0.0943
Nd: 0.6727 0.6727 0.5743
Nd: 0.9984 0.9984 0.7704
Tl: 0.5000 0.5000 0.5000
Se: 0.1697 0.1697 0.8380
Se: 0.8303 0.8303 0.1620
S: 0.1665 0.1665 0.3314
S: 0.5000 0.5000 0.0000
S: 0.8335 0.8335 0.6686